No. 1
This record from the Alexandria database describes crystalline BaNaCa3 at its relaxed geometry. The functional is PBE.

Values from the calculation:
The total energy is -1.78 eV/atom. The crystal system is monoclinic. The value obtained for the size of the total moment is 0.00 μB/f.u. The energy relative to the lowest polymorph listed for this composition is 0 meV/atom.

Cell lengths 6.131, 9.871, 7.846 Å; angles 90.00, 90.00, 108.03 degrees
Fractional positions:
1 Ba 0.510 0.519 0.750
2 Ba 0.490 0.481 0.250
3 Na 0.705 0.908 0.750
4 Na 0.295 0.092 0.250
5 Ca 0.110 0.721 0.496
6 Ca 0.890 0.279 0.504
7 Ca 0.110 0.721 0.004
8 Ca 0.890 0.279 0.996
9 Ca 0.299 0.097 0.750
10 Ca 0.701 0.903 0.250


No. 2
This record from the Alexandria database describes crystalline Ba3Na8Ca at its relaxed geometry. The functional is PBE.

Values from the calculation:
The total energy is -1.51 eV/atom. The crystal system is trigonal. The value obtained for the size of the total moment is 0.00 μB/f.u. The energy relative to the lowest polymorph listed for this composition is 8 meV/atom.

Cell lengths 7.197, 7.197, 12.406 Å; angles 73.14, 73.14, 60.00 degrees
Fractional positions:
1 Ba 0.625 0.625 0.124
2 Ba 0.003 0.003 0.992
3 Ba 0.498 0.498 0.506
4 Na 0.565 0.063 0.807
5 Na 0.062 0.558 0.318
6 Na 0.565 0.565 0.807
7 Na 0.062 0.062 0.318
8 Na 0.811 0.811 0.566
9 Na 0.313 0.313 0.061
10 Na 0.063 0.565 0.807
11 Na 0.558 0.062 0.318
12 Ca 0.125 0.125 0.625


No. 3
This record from the Alexandria database describes crystalline Ba15NaCa4 at its relaxed geometry. The functional is PBE.

Values from the calculation:
The total energy is -1.86 eV/atom. The crystal system is tetragonal. The value obtained for the size of the total moment is 0.00 μB/f.u.

Cell lengths 6.098, 6.098, 31.607 Å; angles 90.00, 90.00, 90.00 degrees
Fractional positions:
1 Ba 0.500 0.500 0.000
2 Ba 0.500 0.500 0.201
3 Ba 0.500 0.500 0.400
4 Ba 0.500 0.500 0.600
5 Ba 0.500 0.500 0.799
6 Ba 0.500 0.000 0.101
7 Ba 0.500 0.000 0.300
8 Ba 0.500 0.000 0.500
9 Ba 0.500 0.000 0.700
10 Ba 0.500 0.000 0.899
11 Ba 0.000 0.500 0.101
12 Ba 0.000 0.500 0.300
13 Ba 0.000 0.500 0.500
14 Ba 0.000 0.500 0.700
15 Ba 0.000 0.500 0.899
16 Na 0.000 0.000 0.000
17 Ca 0.000 0.000 0.201
18 Ca 0.000 0.000 0.400
19 Ca 0.000 0.000 0.600
20 Ca 0.000 0.000 0.799


No. 4
This record from the Alexandria database describes crystalline BaNaCa at its relaxed geometry. The functional is PBE.

Values from the calculation:
The total energy is -1.68 eV/atom. The crystal system is trigonal. The value obtained for the size of the total moment is 0.00 μB/f.u. The energy relative to the lowest polymorph listed for this composition is 62 meV/atom.

Cell lengths 4.144, 6.401, 6.401 Å; angles 120.00, 90.00, 90.00 degrees
Fractional positions:
1 Na 0.206 0.333 0.667
2 Ca 0.136 0.000 0.000
3 Ba 0.658 0.667 0.333